No. 1
! KMgCu3 | the Alexandria database | GGA-PBE | relaxed; values from VASP
&SYSTEM
  ibrav = 0, nat = 5, ntyp = 3
/
ATOMIC_SPECIES
K 39.10 K.upf
Cu 63.55 Cu.upf
Mg 24.30 Mg.upf
ATOMIC_POSITIONS crystal
K 0.0000 0.0000 0.0000
Cu 0.0000 0.0000 0.5000
Cu 0.0000 0.5000 0.0000
Cu 0.5000 0.0000 0.0000
Mg 0.5000 0.5000 0.5000
CELL_PARAMETERS angstrom
-3.8127 3.1755 0.8813
-2.2260 -3.4753 2.8921
2.4301 1.7987 4.0319
! * calculated formation energy: 7.30 eV per formula unit
! * calculated density: 3.296 g/cm³

No. 2
! TaTiP2 | the Alexandria database | GGA-PBE | relaxed; values from VASP
&SYSTEM
  ibrav = 0, nat = 4, ntyp = 3
/
ATOMIC_SPECIES
Ta 180.95 Ta.upf
P 30.97 P.upf
Ti 47.87 Ti.upf
ATOMIC_POSITIONS crystal
Ta 0.6718 0.6718 0.9847
P 0.2499 0.2499 0.2504
Ti 0.4928 0.4928 0.5217
P 0.0856 0.0856 0.7433
CELL_PARAMETERS angstrom
3.4971 0.0000 0.0000
1.7485 3.0286 0.0000
1.7485 1.0095 6.0100
! * calculated formation energy: -3.44 eV per formula unit
! * calculated density: 7.585 g/cm³

No. 3
! ZrInSi2 | the Alexandria database | GGA-PBE | relaxed; values from VASP
&SYSTEM
  ibrav = 0, nat = 8, ntyp = 3
/
ATOMIC_SPECIES
Si 28.09 Si.upf
In 114.82 In.upf
Zr 91.22 Zr.upf
ATOMIC_POSITIONS crystal
Si 0.3750 0.3691 0.7500
Si 0.1191 0.6250 0.2500
In 0.7500 0.2500 0.5000
In 0.0000 0.0000 0.0000
Zr 0.5000 0.5000 0.0000
Si 0.8750 0.8809 0.7500
Zr 0.2500 0.7500 0.5000
Si 0.6309 0.1250 0.2500
CELL_PARAMETERS angstrom
7.4075 0.0000 0.0000
0.0000 7.4075 0.0000
3.7037 3.7037 2.9649
! * uncorrected formation energy: 0.194 eV per atom
! * calculated density: 5.353 g/cm³

No. 4
! Al3Ag4 | the Alexandria database | GGA-PBE | relaxed; values from VASP
&SYSTEM
  ibrav = 0, nat = 7, ntyp = 2
/
ATOMIC_SPECIES
Al 26.98 Al.upf
Ag 107.87 Ag.upf
ATOMIC_POSITIONS crystal
Al 0.8565 0.4282 0.4282
Ag 0.9932 0.9966 0.9966
Al 0.7122 0.8561 0.8561
Ag 0.2959 0.1479 0.1479
Ag 0.5680 0.2840 0.2840
Ag 0.1443 0.5722 0.5722
Al 0.4299 0.7150 0.7150
CELL_PARAMETERS angstrom
14.3345 -0.0072 -0.0073
-0.2943 2.8972 0.0000
-0.2943 -0.0299 2.8970
! * calculated formation energy: -0.03 eV per formula unit
! * calculated density: 7.073 g/cm³

No. 5
! Ba2NdNpN4 | the Alexandria database | GGA-PBE | relaxed; values from VASP
&SYSTEM
  ibrav = 0, nat = 8, ntyp = 4
/
ATOMIC_SPECIES
N 14.01 N.upf
Ba 137.33 Ba.upf
Nd 144.24 Nd.upf
Np 237.00 Np.upf
ATOMIC_POSITIONS crystal
N 0.0000 0.7766 0.1761
N 0.5000 0.7990 0.8206
Ba 0.5000 0.0000 0.5000
N 0.5000 0.2010 0.1794
Ba 0.0000 0.5000 0.5000
N 0.0000 0.2234 0.8239
Nd 0.5000 0.5000 0.0000
Np 0.0000 0.0000 0.0000
CELL_PARAMETERS angstrom
-1.2420 3.4040 -0.5745
-5.1409 -1.3084 3.3616
4.7292 2.4299 4.1736
! * uncorrected formation energy: -0.927 eV per atom
! * calculated density: 8.004 g/cm³

No. 6
! Sc3Pb | the Alexandria database | GGA-PBE | relaxed; values from VASP
&SYSTEM
  ibrav = 0, nat = 4, ntyp = 2
/
ATOMIC_SPECIES
Sc 44.96 Sc.upf
Pb 207.20 Pb.upf
ATOMIC_POSITIONS crystal
Sc 0.0000 0.0000 0.5000
Pb 0.0000 0.0000 0.0000
Sc 0.6667 0.3333 0.2518
Sc 0.6667 0.3333 0.7482
CELL_PARAMETERS angstrom
3.3671 0.0000 0.0000
-1.6835 2.9160 0.0000
0.0000 0.0000 10.2125
! * calculated formation energy: -0.55 eV per formula unit
! * calculated density: 5.665 g/cm³

No. 7
! AcTbCoRu | the Alexandria database | GGA-PBE | relaxed; values from VASP
&SYSTEM
  ibrav = 0, nat = 4, ntyp = 4
/
ATOMIC_SPECIES
Tb 158.93 Tb.upf
Ac 227.00 Ac.upf
Co 58.93 Co.upf
Ru 101.07 Ru.upf
ATOMIC_POSITIONS crystal
Tb 0.5000 0.5000 0.5000
Ac 0.0000 0.0000 0.0000
Co 0.7500 0.7500 0.7500
Ru 0.2500 0.2500 0.2500
CELL_PARAMETERS angstrom
4.9999 0.0000 0.0000
2.5000 4.3301 0.0000
2.5000 1.4434 4.0824
! * calculated formation energy: 0.08 eV per formula unit
! * calculated density: 10.257 g/cm³

No. 8
! La2SmEr3As6 | the Alexandria database | GGA-PBE | relaxed; values from VASP
&SYSTEM
  ibrav = 0, nat = 12, ntyp = 4
/
ATOMIC_SPECIES
As 74.92 As.upf
La 138.91 La.upf
Er 167.26 Er.upf
Sm 150.36 Sm.upf
ATOMIC_POSITIONS crystal
As 0.0038 0.7468 0.0076
La 0.1658 0.3317 0.3316
La 0.8342 0.6683 0.6684
Er 0.1667 0.8339 0.3334
As 0.6681 0.0732 0.3362
Sm 0.5000 0.0000 0.0000
As 0.3369 0.4079 0.6738
Er 0.5000 0.5000 0.0000
As 0.3319 0.9268 0.6638
As 0.9962 0.2532 0.9924
Er 0.8333 0.1661 0.6666
As 0.6631 0.5921 0.3262
CELL_PARAMETERS angstrom
-2.2057 3.5826 0.0655
-3.5655 -2.0613 -7.3234
-4.5952 -5.4125 6.1513
! * calculated formation energy: -18.30 eV per formula unit
! * calculated density: 7.268 g/cm³

No. 9
! KTcTePt2 | the Alexandria database | GGA-PBE | relaxed; values from VASP
&SYSTEM
  ibrav = 0, nat = 5, ntyp = 4
/
ATOMIC_SPECIES
Pt 195.08 Pt.upf
Tc 98.00 Tc.upf
Te 127.60 Te.upf
K 39.10 K.upf
ATOMIC_POSITIONS crystal
Pt 0.5000 0.0000 0.0000
Tc 0.0000 0.5000 0.0000
Te 0.0000 0.0000 0.0000
Pt 0.0000 0.0000 0.5000
K 0.5000 0.5000 0.5000
CELL_PARAMETERS angstrom
5.1032 0.0000 0.0000
0.0000 5.1218 0.0000
0.0000 0.0000 5.1032
! * uncorrected formation energy: 0.733 eV per atom
! * calculated density: 8.152 g/cm³

No. 10
! CdTcP2S | the Alexandria database | GGA-PBE | relaxed; values from VASP
&SYSTEM
  ibrav = 0, nat = 5, ntyp = 4
/
ATOMIC_SPECIES
P 30.97 P.upf
Tc 98.00 Tc.upf
S 32.06 S.upf
Cd 112.41 Cd.upf
ATOMIC_POSITIONS crystal
P 0.0000 0.5000 0.0000
Tc 0.0000 0.0000 0.0000
S 0.0000 0.0000 0.5000
P 0.5000 0.0000 0.0000
Cd 0.5000 0.5000 0.5000
CELL_PARAMETERS angstrom
4.4749 0.0000 0.0000
0.0000 4.4749 0.0000
0.0000 0.0000 5.3116
! * uncorrected formation energy: 0.373 eV per atom
! * calculated density: 4.753 g/cm³

No. 11
! InTcPCl2 | the Alexandria database | GGA-PBE | relaxed; values from VASP
&SYSTEM
  ibrav = 0, nat = 5, ntyp = 4
/
ATOMIC_SPECIES
Cl 35.45 Cl.upf
P 30.97 P.upf
In 114.82 In.upf
Tc 98.00 Tc.upf
ATOMIC_POSITIONS crystal
Cl 0.5000 0.0000 0.0000
P 0.0000 0.0000 0.5000
In 0.5000 0.5000 0.5000
Cl 0.0000 0.5000 0.0000
Tc 0.0000 0.0000 0.0000
CELL_PARAMETERS angstrom
4.9871 0.0000 0.0000
0.0000 4.9871 0.0000
0.0000 0.0000 4.6391
! * uncorrected formation energy: -0.067 eV per atom
! * calculated density: 4.529 g/cm³

No. 12
! PuInSnBi | the Alexandria database | GGA-PBE | relaxed; values from VASP
&SYSTEM
  ibrav = 0, nat = 4, ntyp = 4
/
ATOMIC_SPECIES
Sn 118.71 Sn.upf
Bi 208.98 Bi.upf
In 114.82 In.upf
Pu 244.00 Pu.upf
ATOMIC_POSITIONS crystal
Sn 0.0000 0.0000 0.0000
Bi 0.0000 0.5000 0.5000
In 0.5000 0.5000 0.0000
Pu 0.5000 0.0000 0.5000
CELL_PARAMETERS angstrom
4.5525 0.0000 0.0000
0.0000 4.7853 0.0000
0.0000 0.0000 4.9322
! * calculated formation energy: -1.13 eV per formula unit
! * calculated density: 10.609 g/cm³

No. 13
! Mg5Ta3 | the Alexandria database | GGA-PBE | relaxed; values from VASP
&SYSTEM
  ibrav = 0, nat = 8, ntyp = 2
/
ATOMIC_SPECIES
Mg 24.30 Mg.upf
Ta 180.95 Ta.upf
ATOMIC_POSITIONS crystal
Mg 0.2505 0.7495 0.5000
Ta 0.2737 0.2737 0.5000
Mg 0.7495 0.2505 0.5000
Ta 0.5000 0.5000 0.0000
Mg 0.0000 0.5000 0.0000
Mg 0.5000 0.0000 0.0000
Mg 0.0000 0.0000 0.0000
Ta 0.7263 0.7263 0.5000
CELL_PARAMETERS angstrom
-4.8528 4.8698 0.6875
-3.4474 -4.4746 3.9788
1.5664 1.1817 2.6862
! * calculated formation energy: 2.35 eV per formula unit
! * calculated density: 6.956 g/cm³

No. 14
! Na3Tl2Cd9 | the Alexandria database | GGA-PBE | relaxed; values from VASP
&SYSTEM
  ibrav = 0, nat = 14, ntyp = 3
/
ATOMIC_SPECIES
Tl 204.38 Tl.upf
Cd 112.41 Cd.upf
Na 22.99 Na.upf
ATOMIC_POSITIONS crystal
Tl 0.5000 0.6599 0.3401
Cd 0.6346 0.7417 0.9891
Cd 0.3654 0.0109 0.2583
Na 0.7166 0.2834 0.2834
Cd 0.6346 0.9891 0.7417
Na 0.2834 0.7166 0.7166
Cd 0.1563 0.1176 0.5699
Cd 0.8437 0.4301 0.8824
Cd 0.8437 0.8824 0.4301
Cd 0.3654 0.2583 0.0109
Cd 0.1563 0.5699 0.1176
Na 0.0000 0.0000 0.0000
Cd 0.0000 0.5000 0.5000
Tl 0.5000 0.3401 0.6599
CELL_PARAMETERS angstrom
-0.8409 -4.5393 -1.5995
7.8633 -2.8398 -3.5365
3.0548 -5.5008 6.5431
! * calculated formation energy: -0.48 eV per formula unit
! * calculated density: 6.687 g/cm³

No. 15
! Pu3GeS2 | the Alexandria database | GGA-PBE | relaxed; values from VASP
&SYSTEM
  ibrav = 0, nat = 6, ntyp = 3
/
ATOMIC_SPECIES
Pu 244.00 Pu.upf
S 32.06 S.upf
Ge 72.64 Ge.upf
ATOMIC_POSITIONS crystal
Pu 0.3243 0.3243 0.6487
S 0.3342 0.8342 0.6683
S 0.6658 0.1658 0.3317
Ge 0.0000 0.5000 0.0000
Pu 0.6757 0.6757 0.3513
Pu 0.0000 0.0000 0.0000
CELL_PARAMETERS angstrom
-2.8551 2.8231 0.0816
-3.9587 -3.9803 -0.8075
2.8861 -0.1217 6.3681
! * uncorrected formation energy: -1.246 eV per atom
! * calculated density: 10.437 g/cm³

No. 16
! NpNiRu | the Alexandria database | GGA-PBE | relaxed; values from VASP
&SYSTEM
  ibrav = 0, nat = 6, ntyp = 3
/
ATOMIC_SPECIES
Ru 101.07 Ru.upf
Ni 58.69 Ni.upf
Np 237.00 Np.upf
ATOMIC_POSITIONS crystal
Ru 0.5000 0.5000 0.0000
Ni 0.0000 0.0000 0.0000
Ru 0.5000 0.0000 0.5000
Np 0.1312 0.6188 0.6188
Ni 0.5000 0.0000 0.0000
Np 0.8688 0.3812 0.3812
CELL_PARAMETERS angstrom
-0.8005 0.2936 4.6621
-1.0912 -4.3971 2.4986
3.6539 -1.8631 3.1538
! * calculated formation energy: -0.43 eV per formula unit
! * calculated density: 13.805 g/cm³

No. 17
! BaH3Rh | the Alexandria database | GGA-PBE | relaxed; values from VASP
&SYSTEM
  ibrav = 0, nat = 10, ntyp = 3
/
ATOMIC_SPECIES
Rh 102.91 Rh.upf
H 1.01 H.upf
Ba 137.33 Ba.upf
ATOMIC_POSITIONS crystal
Rh 0.0547 0.5362 0.5088
H 0.2052 0.2897 0.5973
H 0.8804 0.6591 0.8568
Rh 0.0547 0.0362 0.5088
H 0.8157 0.2892 0.5971
H 0.9042 0.7828 0.4204
Ba 0.7325 0.2775 0.1533
H 0.2290 0.4133 0.1608
H 0.2937 0.7832 0.4205
Ba 0.3769 0.7950 0.8644
CELL_PARAMETERS angstrom
5.4992 0.0081 -0.0001
-0.0142 5.6108 0.0047
2.7526 -0.6391 4.6739
! * energy: -43.15 eV per cell
! * calculated density: 5.601 g/cm³

No. 18
! SrGa3Pt2 | the Alexandria database | GGA-PBE | relaxed; values from VASP
&SYSTEM
  ibrav = 0, nat = 12, ntyp = 3
/
ATOMIC_SPECIES
Ga 69.72 Ga.upf
Sr 87.62 Sr.upf
Pt 195.08 Pt.upf
ATOMIC_POSITIONS crystal
Ga 0.7738 0.7738 0.1585
Ga 0.2262 0.2262 0.8415
Sr 0.2114 0.2114 0.3658
Pt 0.0000 0.5000 0.0000
Sr 0.7886 0.7886 0.6342
Pt 0.5000 0.5000 0.0000
Ga 0.7060 0.2262 0.8415
Pt 0.5000 0.0000 0.0000
Ga 0.7738 0.2940 0.1585
Pt 0.0000 0.0000 0.0000
Ga 0.2262 0.7060 0.8415
Ga 0.2940 0.7738 0.1585
CELL_PARAMETERS angstrom
-3.3032 -1.6969 7.5907
4.3953 -4.5555 5.5980
2.3401 2.0015 6.1695
! * calculated formation energy: -2.97 eV per formula unit
! * calculated density: 7.571 g/cm³

No. 19
! Al3ZnCo | the Alexandria database | GGA-PBE | relaxed; values from VASP
&SYSTEM
  ibrav = 0, nat = 5, ntyp = 3
/
ATOMIC_SPECIES
Al 26.98 Al.upf
Co 58.93 Co.upf
Zn 65.41 Zn.upf
ATOMIC_POSITIONS crystal
Al 0.0000 0.5000 0.0000
Al 0.0000 0.0000 0.5000
Co 0.0000 0.0000 0.0000
Zn 0.5000 0.5000 0.5000
Al 0.5000 0.0000 0.0000
CELL_PARAMETERS angstrom
-1.1552 0.1628 4.3543
-4.0617 -1.6713 -1.0151
1.5777 -4.1835 0.5749
! * calculated formation energy: 0.01 eV per formula unit
! * calculated density: 3.721 g/cm³

No. 20
! ReTcBr2 | the Alexandria database | GGA-PBE | relaxed; values from VASP
&SYSTEM
  ibrav = 0, nat = 4, ntyp = 3
/
ATOMIC_SPECIES
Br 79.90 Br.upf
Re 186.21 Re.upf
Tc 98.00 Tc.upf
ATOMIC_POSITIONS crystal
Br 0.0000 0.0118 0.0004
Re 0.5000 0.2500 0.2500
Tc 0.5000 0.7500 0.7500
Br 0.0000 0.4882 0.4996
CELL_PARAMETERS angstrom
4.4835 0.0000 0.0000
0.0000 3.1077 -0.0006
0.0000 -0.3744 5.2485
! * uncorrected formation energy: 1.329 eV per atom
! * calculated density: 10.082 g/cm³

No. 21
! AcErTm3 | the Alexandria database | GGA-PBE | relaxed; values from VASP
&SYSTEM
  ibrav = 0, nat = 10, ntyp = 3
/
ATOMIC_SPECIES
Er 167.26 Er.upf
Tm 168.93 Tm.upf
Ac 227.00 Ac.upf
ATOMIC_POSITIONS crystal
Er 0.2096 0.4523 0.7242
Tm 0.5778 0.1889 0.7953
Ac 0.4069 0.8472 0.2919
Tm 0.9364 0.9060 0.9326
Tm 0.4661 0.9652 0.6263
Er 0.8343 0.7018 0.6974
Tm 0.7488 0.5306 0.3850
Ac 0.6371 0.3069 0.1297
Tm 0.2952 0.6235 0.0366
Tm 0.1075 0.2481 0.4890
CELL_PARAMETERS angstrom
-4.5624 1.4836 -0.7202
-1.0552 -9.2244 4.0164
-1.6240 -0.9562 8.3176
! * calculated formation energy: 0.83 eV per formula unit
! * calculated density: 8.651 g/cm³

No. 22
! GdAlFe4 | the Alexandria database | GGA-PBE | relaxed; values from VASP
&SYSTEM
  ibrav = 0, nat = 6, ntyp = 3
/
ATOMIC_SPECIES
Gd 157.25 Gd.upf
Fe 55.84 Fe.upf
Al 26.98 Al.upf
ATOMIC_POSITIONS crystal
Gd 0.2500 0.2500 0.2500
Fe 0.1223 0.6259 0.6259
Fe 0.6259 0.6259 0.1223
Al 0.0000 0.0000 0.0000
Fe 0.6259 0.6259 0.6259
Fe 0.6259 0.1223 0.6259
CELL_PARAMETERS angstrom
-2.5995 -0.3133 -4.2257
-1.1410 -4.4532 -1.8919
-4.7033 -1.6071 0.0885
! * calculated formation energy: -0.44 eV per formula unit
! * calculated density: 7.792 g/cm³

No. 23
! Pr2Dy2Y7 | the Alexandria database | GGA-PBE | relaxed; values from VASP
&SYSTEM
  ibrav = 0, nat = 11, ntyp = 3
/
ATOMIC_SPECIES
Y 88.91 Y.upf
Dy 162.50 Dy.upf
Pr 140.91 Pr.upf
ATOMIC_POSITIONS crystal
Y 0.0000 0.0000 0.0000
Dy 0.5000 0.8183 0.1817
Y 0.8067 0.4986 0.9009
Y 0.1933 0.0991 0.5014
Y 0.4774 0.6899 0.6899
Pr 0.1370 0.6087 0.6087
Y 0.1933 0.5014 0.0991
Y 0.8067 0.9009 0.4986
Pr 0.8630 0.3913 0.3913
Y 0.5226 0.3101 0.3101
Dy 0.5000 0.1817 0.8183
CELL_PARAMETERS angstrom
-5.3033 3.0331 5.9536
-0.9199 -5.6128 3.4655
4.5312 1.8710 4.5086
! * calculated formation energy: 1.98 eV per formula unit
! * calculated density: 5.517 g/cm³

No. 24
! DyTm8Th6 | the Alexandria database | GGA-PBE | relaxed; values from VASP
&SYSTEM
  ibrav = 0, nat = 15, ntyp = 3
/
ATOMIC_SPECIES
Tm 168.93 Tm.upf
Th 232.04 Th.upf
Dy 162.50 Dy.upf
ATOMIC_POSITIONS crystal
Tm 0.1057 0.6667 0.3333
Th 0.5660 0.8768 0.5658
Tm 0.9188 0.9815 0.3109
Tm 0.8943 0.3333 0.6667
Th 0.5660 0.4342 0.3110
Tm 0.9188 0.6891 0.6707
Th 0.4340 0.3110 0.8768
Th 0.5660 0.6890 0.1232
Dy 0.5000 0.0000 0.0000
Tm 0.0812 0.3109 0.3293
Tm 0.0812 0.0185 0.6891
Th 0.4340 0.1232 0.4342
Th 0.4340 0.5658 0.6890
Tm 0.0812 0.6707 0.9815
Tm 0.9188 0.3293 0.0185
CELL_PARAMETERS angstrom
-3.8265 2.9649 3.8858
-4.8761 3.4624 -7.4436
-2.5180 -8.3485 3.8903
! * calculated formation energy: 4.01 eV per formula unit
! * calculated density: 9.846 g/cm³

No. 25
! K2PmPO6 | the Alexandria database | GGA-PBE | relaxed; values from VASP
&SYSTEM
  ibrav = 0, nat = 10, ntyp = 4
/
ATOMIC_SPECIES
O 16.00 O.upf
K 39.10 K.upf
P 30.97 P.upf
Pm 145.00 Pm.upf
ATOMIC_POSITIONS crystal
O 0.1734 0.8711 0.7422
O 0.8266 0.7422 0.8711
O 0.1734 0.8711 0.1289
O 0.1734 0.2578 0.1289
O 0.8266 0.1289 0.2578
O 0.8266 0.1289 0.8711
K 0.9130 0.6667 0.3333
P 0.0000 0.0000 0.0000
K 0.0870 0.3333 0.6667
Pm 0.5000 0.0000 0.0000
CELL_PARAMETERS angstrom
5.8100 0.0000 0.0000
0.0000 6.2393 0.0000
0.0000 -3.1196 5.4034
! * uncorrected formation energy: -1.850 eV per atom
! * calculated density: 2.969 g/cm³